Density functional theory data (PBE) for a relaxed Er7Tm4Tl crystal.

a = 5.4821 Å, b = 5.4821 Å, c = 13.8284 Å
α = 90.00°, β = 90.00°, γ = 120.00°
Closest atoms and distances in Å follow each position.
Atoms (fractional coordinates):
1 Er 0.0000 0.0000 0.7330  3 Tm 3.22, 1 Tl 3.22, 3 Er 3.42
2 Er 0.3333 0.6667 0.1726  7 Tm 3.37-3.69, 4 Er 3.42-3.44
3 Er 0.6667 0.3333 0.5784  3 Tl 3.35, 1 Er 3.44, 4 Tm 3.52-3.71
4 Tm 0.3333 0.6667 0.6897  6 Er 3.22-3.52, 1 Tm 3.31
5 Er 0.3333 0.6667 0.4216  3 Tl 3.35, 1 Er 3.44, 4 Tm 3.52-3.71
6 Er 0.0000 0.0000 0.0000  6 Tm 3.31, 2 Er 3.69
7 Tm 0.3333 0.6667 0.9290  1 Tm 3.31, 7 Er 3.31-3.46
8 Er 0.6667 0.3333 0.8274  7 Tm 3.37-3.69, 4 Er 3.42-3.44
9 Tl 0.0000 0.0000 0.5000  8 Er 3.22-3.35
10 Tm 0.6667 0.3333 0.0710  1 Tm 3.31, 7 Er 3.31-3.46
11 Tm 0.6667 0.3333 0.3103  6 Er 3.22-3.52, 1 Tm 3.31
12 Er 0.0000 0.0000 0.2670  3 Tm 3.22, 1 Tl 3.22, 3 Er 3.42

Computed properties:
Space group: No. 164
Formation energy (eV per atom): 0.04
Raw total energy (eV/atom): -4.31
Density of states at the Fermi level (states/eV/atom): 1.670

---

Density functional theory data (PBE) for a relaxed LiSi2Sb crystal.

a = 4.2124 Å, b = 5.8836 Å, c = 3.3398 Å
α = 73.13°, β = 91.03°, γ = 111.29°
Closest atoms and distances in Å follow each position.
Atoms (fractional coordinates):
1 Si 0.0000 0.0000 0.0000  4 Si 2.66-2.71, 2 Sb 2.93, 2 Li 2.93
2 Sb 0.5000 0.5000 0.0000  4 Li 2.66-2.71, 4 Si 2.93
3 Si 0.5000 0.0000 0.5000  4 Si 2.66-2.71, 2 Li 2.93, 2 Sb 2.93
4 Li 0.0000 0.5000 0.5000  4 Sb 2.66-2.71, 4 Si 2.93

Computed properties:
Space group: No. 12
ΔE_f (raw) (eV per atom): 0.1967
Raw total energy (eV/atom): -4.02
Density of states at the Fermi level (states/eV/atom): 0.481

---

Density functional theory data (PBE) for a relaxed PaAl2Co crystal.

a = 2.9364 Å, b = 2.9364 Å, c = 7.5278 Å
α = 90.00°, β = 90.00°, γ = 90.00°
Closest atoms and distances in Å follow each position.
Atoms (fractional coordinates):
1 Al 0.0000 0.0000 0.8164  4 Co 2.49, 1 Al 2.76
2 Al 0.0000 0.0000 0.1836  4 Co 2.49, 1 Al 2.76
3 Co 0.5000 0.5000 0.0000  8 Al 2.49
4 Pa 0.5000 0.5000 0.5000  4 Pa 2.94, 8 Al 3.16

Computed properties:
Space group: No. 123
Formation energy (eV per atom): -0.34
Raw total energy (eV/atom): -6.36
Density of states at the Fermi level (states/eV/atom): 1.159

---

Density functional theory data (PBE) for a relaxed MnTe2PtI crystal.

a = 4.8281 Å, b = 4.8281 Å, c = 5.4838 Å
α = 90.00°, β = 90.00°, γ = 90.00°
Closest atoms and distances in Å follow each position.
Atoms (fractional coordinates):
1 Pt 0.5000 0.5000 0.5000  4 I 3.41, 8 Te 3.65
2 Te 0.0000 0.5000 0.0000  2 Mn 2.41
3 Mn 0.0000 0.0000 0.0000  4 Te 2.41
4 I 0.0000 0.0000 0.5000  2 Mn 2.74
5 Te 0.5000 0.0000 0.0000  2 Mn 2.41

Computed properties:
Space group: No. 123
Relative energy among the computed polymorphs (meV per atom): 0
ΔE_f (raw) (eV per atom): 0.8624
Raw total energy (eV/atom): -3.75
Density of states at the Fermi level (states/eV/atom): 1.285